Density functional theory data (PBEsol) for CrHgPb2 after structural relaxation.

Values from the calculation:
Total energy   -4.33 eV/atom

a b c (Å): 3.3543 5.2806 6.1855
angles (deg): 115.27 105.73 90.00
With the nearest neighbours (Å) after each atom.
Positions (direct):
Cr  0.5098  0.5098  0.0197  2 Hg 2.79, 2 Pb 2.98
Hg  0.2189  0.7189  0.4377  2 Cr 2.79
Pb  0.9919  0.9919  0.9838  4 Cr 3.13, 6 Pb 3.35-3.50, 2 Hg 3.36
Pb  0.7794  0.2794  0.5588  2 Cr 2.98, 4 Hg 3.19



Density functional theory data (PBEsol) for Ta2CrHgPb after structural relaxation.

Values from the calculation:
Total energy   -5.54 eV/atom

a b c (Å): 5.1594 5.1594 5.2089
angles (deg): 90.00 90.00 90.00
With the nearest neighbours (Å) after each atom.
Positions (direct):
Pb  0.0000  0.0000  0.0000  4 Ta 2.58, 2 Hg 2.60
Cr  0.5000  0.5000  0.5000  4 Hg 3.65, 8 Ta 3.67
Hg  0.0000  0.0000  0.5000  2 Pb 2.60
Ta  0.0000  0.5000  0.0000  2 Pb 2.58
Ta  0.5000  0.0000  0.0000  2 Pb 2.58



Density functional theory data (PBEsol) for CrReHgPd2 after structural relaxation.

Values from the calculation:
Total energy   -6.03 eV/atom

a b c (Å): 4.3493 4.5502 4.5502
angles (deg): 90.00 90.00 90.00
With the nearest neighbours (Å) after each atom.
Positions (direct):
Re  0.5000  0.0000  0.0000  2 Cr 2.17
Hg  0.5000  0.5000  0.5000  8 Pd 3.15, 4 Re 3.22
Pd  0.0000  0.0000  0.5000  2 Cr 2.28
Pd  0.0000  0.5000  0.0000  2 Cr 2.28
Cr  0.0000  0.0000  0.0000  2 Re 2.17, 4 Pd 2.28



Density functional theory data (PBEsol) for Sc2CrHgPd after structural relaxation.

Values from the calculation:
Total energy   -5.13 eV/atom

a b c (Å): 4.8576 5.1345 5.1345
angles (deg): 90.00 90.00 90.00
With the nearest neighbours (Å) after each atom.
Positions (direct):
Sc  0.0000  0.0000  0.5000  2 Hg 2.57
Sc  0.0000  0.5000  0.0000  2 Hg 2.57
Cr  0.5000  0.0000  0.0000  2 Hg 2.43
Hg  0.0000  0.0000  0.0000  2 Cr 2.43, 4 Sc 2.57
Pd  0.5000  0.5000  0.5000  8 Sc 3.53, 4 Cr 3.63



Density functional theory data (PBEsol) for CrHgPt2 after structural relaxation.

Values from the calculation:
Total energy   -6.10 eV/atom

a b c (Å): 2.9328 4.7577 4.8777
angles (deg): 102.25 90.00 107.95
With the nearest neighbours (Å) after each atom.
Positions (direct):
Cr  0.5000  0.0000  0.0000  6 Pt 2.65-2.85, 4 Hg 2.85, 2 Cr 2.93
Hg  0.0000  0.0000  0.5000  6 Pt 2.76-2.84, 4 Cr 2.85, 2 Hg 2.93
Pt  0.7615  0.5231  0.7671  3 Cr 2.65-2.85, 6 Pt 2.75-2.96, 3 Hg 2.76-2.84
Pt  0.2385  0.4769  0.2329  3 Cr 2.65-2.85, 6 Pt 2.75-2.96, 3 Hg 2.76-2.84



Density functional theory data (PBEsol) for CrHg2Pt after structural relaxation.

Values from the calculation:
Excess energy over the best structure of this formula in the dataset   0.000 eV per atom
Total energy   -4.43 eV/atom

a b c (Å): 3.0406 3.0406 7.6376
angles (deg): 90.00 90.00 90.00
With the nearest neighbours (Å) after each atom.
Positions (direct):
Cr  0.5000  0.5000  0.7195  4 Pt 2.56
Hg  0.0000  0.0000  0.9694  4 Cr 2.88, 8 Hg 3.04-3.17
Hg  0.5000  0.5000  0.2741  4 Pt 2.94, 8 Hg 3.04-3.17
Pt  0.0000  0.0000  0.5370  4 Cr 2.56



Density functional theory data (PBEsol) for CrHgPt2 after structural relaxation.

Values from the calculation:
Total energy   -6.02 eV/atom

a b c (Å): 4.4868 4.4868 4.4868
angles (deg): 60.00 60.00 60.00
With the nearest neighbours (Å) after each atom.
Positions (direct):
Cr  0.5000  0.5000  0.5000  4 Hg 2.75, 4 Pt 2.75
Hg  0.7500  0.7500  0.7500  4 Cr 2.75, 4 Pt 2.75
Pt  0.0000  0.0000  0.0000  4 Pt 2.75, 4 Hg 2.75
Pt  0.2500  0.2500  0.2500  4 Cr 2.75, 4 Pt 2.75



Density functional theory data (PBEsol) for Cr3HgPt after structural relaxation.

Values from the calculation:
Total energy   -6.39 eV/atom

a b c (Å): 4.7974 4.7974 4.7974
angles (deg): 90.00 90.00 90.00
With the nearest neighbours (Å) after each atom.
Positions (direct):
Cr  0.0000  0.5000  0.0000  2 Pt 2.40
Cr  0.0000  0.0000  0.5000  2 Pt 2.40
Cr  0.5000  0.0000  0.0000  2 Pt 2.40
Hg  0.5000  0.5000  0.5000  12 Cr 3.39
Pt  0.0000  0.0000  0.0000  6 Cr 2.40



Density functional theory data (PBEsol) for CrHg2Pt after structural relaxation.

Values from the calculation:
Excess energy over the best structure of this formula in the dataset   0.048 eV per atom
Total energy   -4.39 eV/atom

a b c (Å): 4.1387 4.1387 4.0663
angles (deg): 90.00 90.00 90.00
With the nearest neighbours (Å) after each atom.
Positions (direct):
Cr  0.0000  0.0000  0.5000  8 Hg 2.90, 4 Pt 2.93
Hg  0.0000  0.5000  0.0000  4 Cr 2.90, 4 Pt 2.90, 4 Hg 2.93
Hg  0.5000  0.0000  0.0000  4 Cr 2.90, 4 Pt 2.90, 4 Hg 2.93
Pt  0.5000  0.5000  0.5000  8 Hg 2.90, 4 Cr 2.93



Density functional theory data (PBEsol) for Cr2HgRh after structural relaxation.

Values from the calculation:
Total energy   -6.81 eV/atom

a b c (Å): 4.4160 4.4160 4.4160
angles (deg): 60.00 60.00 60.00
With the nearest neighbours (Å) after each atom.
Positions (direct):
Cr  0.2500  0.2500  0.2500  4 Hg 2.70, 4 Rh 2.70
Cr  0.7500  0.7500  0.7500  4 Hg 2.70, 4 Rh 2.70
Hg  0.0000  0.0000  0.0000  8 Cr 2.70
Rh  0.5000  0.5000  0.5000  8 Cr 2.70



Density functional theory data (PBEsol) for Cr3HgRh after structural relaxation.

Values from the calculation:
Total energy   -5.73 eV/atom

a b c (Å): 4.8516 4.8516 4.8516
angles (deg): 90.00 90.00 90.00
With the nearest neighbours (Å) after each atom.
Positions (direct):
Cr  0.0000  0.5000  0.0000  2 Hg 2.43
Cr  0.0000  0.0000  0.5000  2 Hg 2.43
Cr  0.5000  0.0000  0.0000  2 Hg 2.43
Rh  0.5000  0.5000  0.5000  12 Cr 3.43
Hg  0.0000  0.0000  0.0000  6 Cr 2.43



Density functional theory data (PBEsol) for CrHg2Rh after structural relaxation.

Values from the calculation:
Excess energy over the best structure of this formula in the dataset   0.112 eV per atom
Total energy   -4.59 eV/atom

a b c (Å): 4.0147 4.0147 5.0146
angles (deg): 113.60 113.60 90.00
With the nearest neighbours (Å) after each atom.
Positions (direct):
Cr  0.2500  0.7500  0.5000  8 Hg 2.84-2.88, 4 Rh 2.88
Hg  0.0000  0.0000  0.0000  4 Rh 2.84, 4 Cr 2.88, 4 Hg 2.88
Hg  0.7500  0.2500  0.5000  4 Cr 2.84, 4 Rh 2.88, 4 Hg 2.88
Rh  0.5000  0.5000  0.0000  8 Hg 2.84-2.88, 4 Cr 2.88



Here are the calculated formation energy numbers, same order: 1.5; 12.2; 5.9; 4.3; 0.3; 0.6; 0.6; 6.3; 0.8; 2.0; 10.8; 1.2 (eV/f.u.).